(1)
# BaMg2Pt

Crystalline BaMg2Pt at its relaxed geometry (PBE-GGA, Alexandria via LeMat-Bulk).

POSCAR file:
```
BaMg2Pt
1.0
4.7373 -0.0330 -0.0459
2.4162 4.0749 -0.0459
2.4633 1.3918 5.8879
Ba Mg Pt
1 2 1
Direct
0.7570 0.7570 0.7380
0.9475 0.9475 0.1564
0.2281 0.2281 0.3130
0.5675 0.5675 0.2927
```

Computed properties:
ρ = 5.5 Mg/m³
DOS(E_F) = 0.571 states/eV/atom
ΔH_f (0 K) = -0.515 eV/atom
Space group = Cm

(2)
# Sm2In4Pb

Crystalline Sm2In4Pb at its relaxed geometry (PBE-GGA, Alexandria via LeMat-Bulk).

POSCAR file:
```
Sm2In4Pb
1.0
5.6290 0.0234 -3.2202
-1.8658 5.3109 -3.2202
0.0804 0.1139 6.6523
In Pb Sm
4 1 2
Direct
0.7859 0.7859 0.0717
0.2857 0.7856 0.0714
0.7856 0.2857 0.0714
0.2857 0.2857 0.0712
0.7858 0.7858 0.5715
0.7855 0.2857 0.5714
0.2857 0.7855 0.5714
```

Computed properties:
ρ = 7.9 Mg/m³
DOS(E_F) = 0.553 states/eV/atom
ΔH_f (0 K) = -0.310 eV/atom
Space group = C2/m

no.,E_tot (eV per cell)
1,-13.2
2,-26.3